Below is a relaxed SrCd2Bi2 crystal, with properties calculated at the GGA-PBE level.

Lattice parameters (Å, degrees): 4.7519 25.2348 4.8866 90.00 90.00 90.00
Closest atoms and distances in Å follow each position.
Space group Cmcm (No. 63)
One atom of each set of equivalent atoms:
Sr (0.0000, 0.1464, 0.2500)  8 Bi 3.47-3.57, 4 Cd 3.56-3.73
Cd (0.0000, 0.0348, 0.7500)  4 Cd 3.01-3.05, 2 Bi 3.23
Cd (0.0000, 0.4588, 0.7500)  8 Cd 3.05-3.41, 2 Bi 3.17
Bi (0.0000, 0.2493, 0.7500)  4 Bi 3.41, 4 Sr 3.55-3.57
Bi (0.0000, 0.3785, 0.2500)  4 Cd 3.17-3.23, 4 Sr 3.47

Summary:
**Density**: 8.28 Mg/m³
**Energy of formation**: -0.3329 eV/atom

---

Below is a relaxed SrCdBi2 crystal, with properties calculated at the GGA-PBE level.

Lattice parameters (Å, degrees): 4.7214 4.7214 11.4287 90.00 90.00 90.00
Closest atoms and distances in Å follow each position.
Space group P4/nmm (No. 129, origin choice 2)
One atom of each set of equivalent atoms:
Sr (0.2500, 0.2500, 0.2360)  8 Bi 3.48-3.58, 4 Cd 3.83
Cd (0.2500, 0.7500, 0.5000)  4 Bi 3.11, 4 Cd 3.34
Bi (0.2500, 0.2500, 0.6776)  4 Cd 3.11, 4 Sr 3.48
Bi (0.2500, 0.7500, 0.0000)  4 Bi 3.34, 4 Sr 3.58

Summary:
**Density**: 8.06 Mg/m³
**Energy of formation**: -0.4710 eV/atom

---

> Which of these has the lowest density?

SrCdBi2

---

> Among the records above, which one has the lowest energy of formation?

SrCdBi2

---

> What is the energy of formation in the second record?

-0.4710 eV/atom